# 1
# Er3HgSe2 | Alexandria via LeMat-Bulk | PBE | relaxed
# total DFT energy (no corrections): -4.777 eV/atom
# density: 9.58 g/cm³
# uncorrected formation energy: -1284 meV per atom
data_Er3HgSe2
_cell_length_a 3.9678
_cell_length_b 5.8674
_cell_length_c 12.8051
_cell_angle_alpha 90.00
_cell_angle_beta 90.00
_cell_angle_gamma 90.00
_space_group_name_H-M_alt 'I m m m'
_space_group_IT_number 71
_space_group_name_Hall '-I 2 2'
loop_
_atom_site_label
_atom_site_fract_x
_atom_site_fract_y
_atom_site_fract_z
_atom_site_occupancy
Er1 0.0000 0.0000 0.0000 1
Er2 0.0000 0.0000 0.3268 1
Hg1 0.0000 0.5000 0.0000 1
Se1 0.0000 0.5000 0.3344 1



# 2
# KBeS2N | Alexandria via LeMat-Bulk | PBE | relaxed
# ΔE to the lowest computed polymorph: 177.6 kJ per mole of atoms
# total DFT energy (no corrections): -2.168 eV/atom
# density: 1.36 g/cm³
# uncorrected formation energy: 2113 meV per atom
data_KBeS2N
_cell_length_a 5.6206
_cell_length_b 5.6206
_cell_length_c 4.8751
_cell_angle_alpha 90.00
_cell_angle_beta 90.00
_cell_angle_gamma 90.00
_space_group_name_H-M_alt 'P 4/m m m'
_space_group_IT_number 123
_space_group_name_Hall '-P 4 2'
loop_
_atom_site_label
_atom_site_fract_x
_atom_site_fract_y
_atom_site_fract_z
_atom_site_occupancy
K1 0.0000 0.0000 0.0000 1
Be1 0.5000 0.5000 0.5000 1
S1 0.0000 0.5000 0.0000 1
N1 0.0000 0.0000 0.5000 1



# 3
# KLaHo4Se8 | Alexandria via LeMat-Bulk | PBE | relaxed
# total DFT energy (no corrections): -5.493 eV/atom
# density: 5.37 g/cm³
# uncorrected formation energy: -1764 meV per atom
data_KLaHo4Se8
_cell_length_a 8.5277
_cell_length_b 8.5277
_cell_length_c 21.6473
_cell_angle_alpha 90.00
_cell_angle_beta 90.00
_cell_angle_gamma 120.00
_space_group_name_H-M_alt 'R 3 m'
_space_group_IT_number 160
_space_group_name_Hall 'R 3 -2"'
loop_
_atom_site_label
_atom_site_fract_x
_atom_site_fract_y
_atom_site_fract_z
_atom_site_occupancy
K1 0.0000 0.0000 0.0000 1
La1 0.0000 0.0000 0.6344 1
Ho1 0.0000 0.0000 0.2563 1
Ho2 0.1728 0.3457 0.4619 1
Se1 0.0000 0.0000 0.3874 1
Se2 0.0000 0.0000 0.8632 1
Se3 0.0342 0.5171 0.3899 1
Se4 0.1729 0.3459 0.2079 1



# 4
# VCuAsBr2 | Alexandria via LeMat-Bulk | PBE | relaxed
# ΔE to the lowest computed polymorph: 0.0 kJ per mole of atoms
# total DFT energy (no corrections): -3.855 eV/atom
# density: 4.86 g/cm³
# uncorrected formation energy: 387 meV per atom
data_VCuAsBr2
_cell_length_a 4.9418
_cell_length_b 4.9418
_cell_length_c 4.8824
_cell_angle_alpha 90.00
_cell_angle_beta 90.00
_cell_angle_gamma 90.00
_space_group_name_H-M_alt 'P 4/m m m'
_space_group_IT_number 123
_space_group_name_Hall '-P 4 2'
loop_
_atom_site_label
_atom_site_fract_x
_atom_site_fract_y
_atom_site_fract_z
_atom_site_occupancy
V1 0.0000 0.0000 0.0000 1
Cu1 0.5000 0.5000 0.5000 1
As1 0.0000 0.0000 0.5000 1
Br1 0.0000 0.5000 0.0000 1



# 5
# Pr2PO | Alexandria via LeMat-Bulk | PBE | relaxed
# ΔE to the lowest computed polymorph: 2.8 kJ per mole of atoms
# total DFT energy (no corrections): -6.998 eV/atom
# density: 6.14 g/cm³
# uncorrected formation energy: -2016 meV per atom
data_Pr2PO
_cell_length_a 5.7189
_cell_length_b 5.7054
_cell_length_c 12.2174
_cell_angle_alpha 90.00
_cell_angle_beta 116.81
_cell_angle_gamma 90.00
_space_group_name_H-M_alt 'P 1 2/c 1'
_space_group_IT_number 13
_space_group_name_Hall '-P 2yc'
loop_
_atom_site_label
_atom_site_fract_x
_atom_site_fract_y
_atom_site_fract_z
_atom_site_occupancy
Pr1 0.1091 0.2278 0.1126 1
Pr2 0.3359 0.2414 0.8630 1
P1 0.3772 0.2569 0.3748 1
O1 0.0831 0.2092 0.6243 1



# 6
# SrRhPbW2 | Alexandria via LeMat-Bulk | PBE | relaxed
# formation energy from the elements: 283 kJ per mole of atoms
# total DFT energy (no corrections): -4.794 eV/atom
# density: 10.46 g/cm³
data_SrRhPbW2
_cell_length_a 4.9800
_cell_length_b 4.9800
_cell_length_c 4.9001
_cell_angle_alpha 90.00
_cell_angle_beta 90.00
_cell_angle_gamma 90.00
_space_group_name_H-M_alt 'P 4/m m m'
_space_group_IT_number 123
_space_group_name_Hall '-P 4 2'
loop_
_atom_site_label
_atom_site_fract_x
_atom_site_fract_y
_atom_site_fract_z
_atom_site_occupancy
Sr1 0.0000 0.0000 0.0000 1
Rh1 0.0000 0.0000 0.5000 1
Pb1 0.5000 0.5000 0.5000 1
W1 0.0000 0.5000 0.0000 1



| no. | total magnetization (μB/cell) |
| --- | --- |
| 1 | 0.0 |
| 2 | 4.3 |
| 3 | 0.0 |
| 4 | 0.0 |
| 5 | 0.0 |
| 6 | 0.0 |